Record 1
Na2PdRh, relaxed, DFT PBE-GGA; formation energy = 0.2259 eV/atom; electronic total energy = -14.28 eV/cell; ΔE to the lowest computed polymorph = 0.000 eV/atom; magnetization = 0.71 μB per formula unit; space group = No. 166
1.0
1.4085 0.8132 10.3035
-1.4085 0.8132 10.3035
0.0000 -1.6264 10.3035
Na Pd Rh
2 1 1
direct
0.0877 0.0877 0.0877
0.9123 0.9123 0.9123
0.5000 0.5000 0.5000
0.0000 0.0000 0.0000

Record 2
Na2PdRh, relaxed, DFT PBE-GGA; formation energy = 0.4232 eV/atom; electronic total energy = -13.49 eV/cell; ΔE to the lowest computed polymorph = 0.197 eV/atom; magnetization = 0.00 μB per formula unit; space group = No. 225
1.0
0.0000 3.2929 3.2929
3.2929 0.0000 3.2929
3.2929 3.2929 0.0000
Na Pd Rh
2 1 1
direct
0.2500 0.2500 0.2500
0.7500 0.7500 0.7500
0.0000 0.0000 0.0000
0.5000 0.5000 0.5000

Record 3
Na3PdRh, relaxed, DFT PBE-GGA; formation energy = 0.8004 eV/atom; electronic total energy = -12.50 eV/cell; ΔE to the lowest computed polymorph = 0.027 eV/atom; magnetization = 0.00 μB per formula unit; space group = No. 221
1.0
5.1707 0.0000 0.0000
0.0000 5.1707 0.0000
0.0000 0.0000 5.1707
Na Pd Rh
3 1 1
direct
0.0000 0.0000 0.5000
0.0000 0.5000 0.0000
0.5000 0.0000 0.0000
0.5000 0.5000 0.5000
0.0000 0.0000 0.0000

Record 4
Na2PdRh, relaxed, DFT PBE-GGA; formation energy = 0.5207 eV/atom; electronic total energy = -26.20 eV/cell; ΔE to the lowest computed polymorph = 0.295 eV/atom; magnetization = 1.08 μB per formula unit; space group = No. 122
1.0
-3.8697 3.8697 2.6585
3.8697 -3.8697 2.6585
3.8697 3.8697 -2.6585
Na Pd Rh
4 2 2
direct
0.1203 0.6250 0.9953
0.3750 0.3703 0.4953
0.6297 0.1250 0.0047
0.8750 0.8797 0.5047
0.0000 0.0000 0.0000
0.7500 0.2500 0.5000
0.2500 0.7500 0.5000
0.5000 0.5000 0.0000

Record 5
Na3PdRh, relaxed, DFT PBE-GGA; formation energy = 0.7738 eV/atom; electronic total energy = -12.63 eV/cell; ΔE to the lowest computed polymorph = 0.000 eV/atom; magnetization = 1.20 μB per formula unit; space group = No. 221
1.0
5.2142 0.0000 0.0000
0.0000 5.2142 0.0000
0.0000 0.0000 5.2142
Na Pd Rh
3 1 1
direct
0.0000 0.0000 0.5000
0.0000 0.5000 0.0000
0.5000 0.0000 0.0000
0.0000 0.0000 0.0000
0.5000 0.5000 0.5000

Record 6
NaPd2Rh2, relaxed, DFT PBE-GGA; formation energy = 0.1828 eV/atom; electronic total energy = -50.99 eV/cell; ΔE to the lowest computed polymorph = 0.065 eV/atom; magnetization = 1.71 μB per formula unit; space group = No. 127
1.0
7.8526 0.0000 0.0000
0.0000 7.8526 0.0000
0.0000 0.0000 2.7277
Na Pd Rh
2 4 4
direct
0.0000 0.0000 0.0000
0.5000 0.5000 0.0000
0.1240 0.3760 0.0000
0.3760 0.8760 0.0000
0.6240 0.1240 0.0000
0.8760 0.6240 0.0000
0.1728 0.6728 0.5000
0.3272 0.1728 0.5000
0.6728 0.8272 0.5000
0.8272 0.3272 0.5000

Record 7
NaPd3Rh, relaxed, DFT PBE-GGA; formation energy = 0.7225 eV/atom; electronic total energy = -20.64 eV/cell; ΔE to the lowest computed polymorph = 0.000 eV/atom; magnetization = 1.76 μB per formula unit; space group = No. 221
1.0
4.8881 0.0000 0.0000
0.0000 4.8881 0.0000
0.0000 0.0000 4.8881
Na Pd Rh
1 3 1
direct
0.0000 0.0000 0.0000
0.0000 0.5000 0.5000
0.5000 0.0000 0.5000
0.5000 0.5000 0.0000
0.5000 0.5000 0.5000

Record 8
NaPd2Rh2, relaxed, DFT PBE-GGA; formation energy = 0.3541 eV/atom; electronic total energy = -24.64 eV/cell; ΔE to the lowest computed polymorph = 0.236 eV/atom; magnetization = 0.00 μB per formula unit; space group = No. 139
1.0
-2.0415 2.0415 5.5376
2.0415 -2.0415 5.5376
2.0415 2.0415 -5.5376
Na Pd Rh
1 2 2
direct
0.0000 0.0000 0.0000
0.2500 0.7500 0.5000
0.7500 0.2500 0.5000
0.3958 0.3958 0.0000
0.6042 0.6042 0.0000

Record 9
Na2Pd2Rh, relaxed, DFT PBE-GGA; formation energy = 0.2009 eV/atom; electronic total energy = -38.74 eV/cell; magnetization = 0.89 μB per formula unit; space group = No. 127
1.0
6.5590 0.0000 0.0000
0.0000 6.5590 0.0000
0.0000 0.0000 4.6902
Na Pd Rh
4 4 2
direct
0.1752 0.3248 0.0000
0.3248 0.8248 0.0000
0.6752 0.1752 0.0000
0.8248 0.6752 0.0000
0.1377 0.6377 0.5000
0.3623 0.1377 0.5000
0.6377 0.8623 0.5000
0.8623 0.3623 0.5000
0.0000 0.0000 0.5000
0.5000 0.5000 0.5000

Record 10
Na2PdRh2, relaxed, DFT PBE-GGA; formation energy = 0.3521 eV/atom; electronic total energy = -41.55 eV/cell; magnetization = 1.66 μB per formula unit; space group = No. 127
1.0
6.4887 0.0000 0.0000
0.0000 6.4887 0.0000
0.0000 0.0000 4.7972
Na Pd Rh
4 2 4
direct
0.1773 0.3227 0.0000
0.3227 0.8227 0.0000
0.6773 0.1773 0.0000
0.8227 0.6773 0.0000
0.0000 0.0000 0.5000
0.5000 0.5000 0.5000
0.1285 0.6285 0.5000
0.3715 0.1285 0.5000
0.6285 0.8715 0.5000
0.8715 0.3715 0.5000

Record 11
NaPd2Rh2, relaxed, DFT PBE-GGA; formation energy = 0.1178 eV/atom; electronic total energy = -51.64 eV/cell; ΔE to the lowest computed polymorph = 0.000 eV/atom; magnetization = 1.54 μB per formula unit; space group = No. 127
1.0
7.8554 0.0000 0.0000
0.0000 7.8554 0.0000
0.0000 0.0000 2.7256
Na Pd Rh
2 4 4
direct
0.0000 0.0000 0.0000
0.5000 0.5000 0.0000
0.1824 0.3176 0.5000
0.3176 0.8176 0.5000
0.6824 0.1824 0.5000
0.8176 0.6824 0.5000
0.1152 0.6152 0.0000
0.3848 0.1152 0.0000
0.6152 0.8848 0.0000
0.8848 0.3848 0.0000

Record 12
NaPd2Rh2, relaxed, DFT PBE-GGA; formation energy = 0.3364 eV/atom; electronic total energy = -24.73 eV/cell; ΔE to the lowest computed polymorph = 0.219 eV/atom; magnetization = 1.36 μB per formula unit; space group = No. 139
1.0
-1.8704 1.8704 6.3755
1.8704 -1.8704 6.3755
1.8704 1.8704 -6.3755
Na Pd Rh
1 2 2
direct
0.0000 0.0000 0.0000
0.3983 0.3983 0.0000
0.6017 0.6017 0.0000
0.2500 0.7500 0.5000
0.7500 0.2500 0.5000